Record 1
ReOsSe2I: relaxed, PBE.

a b c (Å): 5.315 5.010 5.315
angles (deg): 90.00 90.00 90.00
Last column: magnetic moment on the atom in μB.
Fractional coordinates of all 5 atoms:
I1 0.000 0.000 0.000  -0.04
Re1 0.000 0.500 0.000  2.18
Os1 0.500 0.500 0.500  2.99
Se1 0.000 0.000 0.500  0.10
Se2 0.500 0.000 0.000  0.13

uncorrected formation energy: 2.8364 eV/atom

***

Record 2
BaB3Pd: relaxed, PBE.

a b c (Å): 4.319 4.319 4.319
angles (deg): 90.00 90.00 90.00
Last column: magnetic moment on the atom in μB.
Fractional coordinates of all 5 atoms:
B1 0.000 0.500 0.000  0.08
B2 0.000 0.000 0.500  0.10
B3 0.500 0.000 0.000  0.10
Ba1 0.500 0.500 0.500  0.06
Pd1 0.000 0.000 0.000  0.14

offset from the most stable computed form: 0.0 meV per atom
E_form: 0.975 eV/atom

***

Record 3
La2PrYEr5: relaxed, PBE.

a b c (Å): 8.704 8.704 9.968
angles (deg): 115.89 115.89 90.00
Fractional coordinates of all 18 atoms:
La1 0.117 0.383 0.000
La2 0.617 0.117 0.000
La3 0.383 0.883 0.000
La4 0.883 0.617 0.000
Pr1 0.250 0.250 0.500
Pr2 0.750 0.750 0.500
Y1 0.250 0.750 0.500
Y2 0.750 0.250 0.500
Er1 0.925 0.425 0.281
Er2 0.644 0.144 0.719
Er3 0.075 0.575 0.719
Er4 0.144 0.075 0.719
Er5 0.575 0.644 0.719
Er6 0.856 0.925 0.281
Er7 0.425 0.356 0.281
Er8 0.356 0.856 0.281
Er9 0.500 0.500 0.000
Er10 0.000 0.000 0.000

E_form: 0.252 eV/atom

***

Record 4
CdIr: relaxed, PBE.

a b c (Å): 8.013 8.013 4.198
angles (deg): 90.00 90.00 120.00
Fractional coordinates of all 12 atoms:
Cd1 0.835 0.669 0.250
Cd2 0.165 0.835 0.750
Cd3 0.331 0.165 0.250
Cd4 0.165 0.331 0.750
Cd5 0.835 0.165 0.250
Cd6 0.669 0.835 0.750
Ir1 0.442 0.885 0.250
Ir2 0.558 0.442 0.750
Ir3 0.115 0.558 0.250
Ir4 0.558 0.115 0.750
Ir5 0.442 0.558 0.250
Ir6 0.885 0.442 0.750

E_form: 0.199 eV/atom

***

no.,VASP energy (eV/atom),total moment (μB/f.u.)
1,-3.60,6.3
2,-4.46,0.8
3,-4.63,0.0
4,-4.69,0.0